[1]
## SmScCuPt (PBE)

Data for crystalline SmScCuPt at its relaxed geometry.

Unit cell a=4.345 b=3.657 c=10.552 alpha=90.00 beta=90.00 gamma=90.00
Space group Amm2 (No. 38)
One atom of each set of equivalent atoms:
Sm  0.000  0.000  0.000 (multiplicity 2)
Sc  0.500  0.000  0.721 (multiplicity 2)
Cu  0.500  0.000  0.431 (multiplicity 2)
Pt  0.000  0.000  0.275 (multiplicity 2)

Summary:
final energy: -48.038 eV/cell
ρ: 8.99 g cm⁻³
distance to the lowest polymorph of the same formula: 0.000 eV per atom
total magnetic moment: 0.00 μB/f.u.
DOS(E_F): 2.72 states/eV/f.u.
formation energy: -0.708 eV/atom

[2]
## SmScCuPt (PBE)

Data for crystalline SmScCuPt at its relaxed geometry.

Unit cell a=6.864 b=6.864 c=6.864 alpha=90.00 beta=90.00 gamma=90.00
Space group F-43m (No. 216)
One atom of each set of equivalent atoms:
Sm  0.000  0.000  0.000 (multiplicity 4)
Sc  0.000  0.000  0.500 (multiplicity 4)
Cu  0.250  0.250  0.250 (multiplicity 4)
Pt  0.250  0.250  0.750 (multiplicity 4)

Summary:
final energy: -95.728 eV/cell
ρ: 9.33 g cm⁻³
distance to the lowest polymorph of the same formula: 0.022 eV per atom
total magnetic moment: 0.00 μB/f.u.
DOS(E_F): 2.22 states/eV/f.u.
formation energy: -0.686 eV/atom

[3]
## ScTaCu2Pt (PBE)

Data for crystalline ScTaCu2Pt at its relaxed geometry.

Unit cell a=4.462 b=4.462 c=4.692 alpha=90.00 beta=90.00 gamma=90.00
Space group P4/mmm (No. 123)
One atom of each set of equivalent atoms:
Sc  0.000  0.000  0.000 (multiplicity 1)
Ta  0.500  0.500  0.500 (multiplicity 1)
Cu  0.000  0.500  0.000 (multiplicity 2)
Pt  0.000  0.000  0.500 (multiplicity 1)

Summary:
final energy: -27.195 eV/cell
ρ: 9.74 g cm⁻³
total magnetic moment: 0.00 μB/f.u.
DOS(E_F): 3.24 states/eV/f.u.
formation energy: 1.044 eV/atom